#a
DFT (PBE) results for crystalline KNbSb2 at its relaxed geometry.

Properties
SG: R-3m
Magnetization, μB per formula unit: 0.000

```
KNbSb2
1.0
1.8225 1.0522 9.5631
-1.8225 1.0522 9.5631
0.0000 -2.1044 9.5631
K Nb Sb
1 1 2
direct
0.0000 0.0000 0.0000
0.5000 0.5000 0.5000
0.2340 0.2340 0.2340
0.7660 0.7660 0.7660
```

#b
DFT (PBE) results for crystalline KNbSb2 at its relaxed geometry.

Properties
SG: P4/mmm
Magnetization, μB per formula unit: 0.503

```
KNbSb2
1.0
3.4993 0.0000 0.0000
0.0000 3.4993 0.0000
0.0000 0.0000 8.6738
K Nb Sb
1 1 2
direct
0.0000 0.0000 0.0000
0.0000 0.0000 0.5000
0.5000 0.5000 0.3109
0.5000 0.5000 0.6891
```

Which one sits at the top of the stability order? #b does.